(1)
A relaxed structure of GaCuSe2Br. Source: the Alexandria database, functional PBE-GGA.

Unit cell a=4.7674 b=4.7674 c=5.4330 alpha=90.00 beta=90.00 gamma=90.00
Closest atoms and distances in Å follow each position.
Sites, in units of the cell vectors:
1 Ga 0.5000 0.5000 0.5000  4 Br 3.37, 8 Se 3.61
2 Cu 0.0000 0.0000 0.0000  4 Se 2.38
3 Se 0.0000 0.5000 0.0000  2 Cu 2.38
4 Se 0.5000 0.0000 0.0000  2 Cu 2.38
5 Br 0.0000 0.0000 0.5000  2 Cu 2.72

Properties
* symmetry: P4/mmm, No. 123
* energy above the most stable polymorph in this dataset: 0.0 meV/atom
* N(E_F): 5.60 states/eV per cell
* energy relative to the elements, uncorrected: 0.74 eV per formula unit

(2)
A relaxed structure of GaCuSeBr2. Source: the Alexandria database, functional PBE-GGA.

Unit cell a=5.1499 b=5.1499 c=4.8086 alpha=90.00 beta=90.00 gamma=90.00
Closest atoms and distances in Å follow each position.
Sites, in units of the cell vectors:
1 Ga 0.5000 0.5000 0.5000  8 Br 3.52, 4 Se 3.64
2 Cu 0.0000 0.0000 0.0000  2 Se 2.40, 4 Br 2.57
3 Se 0.0000 0.0000 0.5000  2 Cu 2.40
4 Br 0.0000 0.5000 0.0000  2 Cu 2.57
5 Br 0.5000 0.0000 0.0000  2 Cu 2.57

Properties
* symmetry: P4/mmm, No. 123
* energy above the most stable polymorph in this dataset: 0.0 meV/atom
* N(E_F): 6.01 states/eV per cell
* energy relative to the elements, uncorrected: -0.15 eV per formula unit

(3)
A relaxed structure of GaCuSeBr2. Source: the Alexandria database, functional PBE-GGA.

Unit cell a=5.1899 b=5.1899 c=5.0123 alpha=90.00 beta=90.00 gamma=90.00
Closest atoms and distances in Å follow each position.
Sites, in units of the cell vectors:
1 Ga 0.0000 0.0000 0.0000  2 Se 2.51, 4 Br 2.59
2 Cu 0.5000 0.5000 0.5000  8 Br 3.61, 4 Se 3.67
3 Se 0.0000 0.0000 0.5000  2 Ga 2.51
4 Br 0.0000 0.5000 0.0000  2 Ga 2.59
5 Br 0.5000 0.0000 0.0000  2 Ga 2.59

Properties
* symmetry: P4/mmm, No. 123
* energy above the most stable polymorph in this dataset: 273.9 meV/atom
* N(E_F): 5.35 states/eV per cell
* energy relative to the elements, uncorrected: 1.22 eV per formula unit